Compound: Ba3AgPd
Source: Alexandria
Functional: GGA-PBEsol
Structure: relaxed

Results
- space-group type = No. 221
- total DFT energy (no corrections) (eV/atom) = -2.865

a = 6.113 Å, b = 6.113 Å, c = 6.113 Å
α = 90.00°, β = 90.00°, γ = 90.00°
Sites, in units of the cell vectors:
Ba 0.000 0.000 0.500
Ba 0.000 0.500 0.000
Ag 0.000 0.000 0.000
Pd 0.500 0.500 0.500
Ba 0.500 0.000 0.000